VASP calculation (PBE+U) on VSeNF2 after structural relaxation.

```
5
Lattice="4.530 0.000 0.000 0.000 4.530 0.000 0.000 0.000 3.741" Properties=species:S:1:pos:R:3 pbc="T T T"
F 2.265 0.000 0.000
F 0.000 2.265 0.000
Se 0.000 0.000 0.000
N 0.000 0.000 1.870
V 2.265 2.265 1.870
```

Properties
SG   P4/mmm (123)
N(E_F)   2.42 states/eV per cell
Total DFT energy (no corrections)   -4.532 eV per atom